(1)
The following is a GGA-PBE calculation of an optimized crystal structure of Pm7Al3, from Alexandria.

Properties
For the electronic total energy, the calculation gives -4.671 eV per atom. The symmetry is No. 12. The value obtained for the formation energy is -0.222 eV/atom. The size of the total moment comes out at 0.00 μB per formula unit. The volume comes out at 288.0 Å³ per cell.

```
data_Pm7Al3
_chemical_formula_sum 'Pm7 Al3'
_symmetry_space_group_name_H-M 'P 1'
_symmetry_Int_Tables_number 1
_symmetry_space_group_name_Hall 'P 1'
_cell_length_a 8.8870
_cell_length_b 8.8870
_cell_length_c 6.8121
_cell_angle_alpha 106.44
_cell_angle_beta 106.44
_cell_angle_gamma 34.08
loop_
_atom_site_label
_atom_site_fract_x
_atom_site_fract_y
_atom_site_fract_z
_atom_site_occupancy
Pm1 0.0000 0.0000 0.0000 1
Pm2 0.1957 0.1957 0.6772 1
Pm3 0.3659 0.3659 0.0874 1
Pm4 0.4085 0.4085 0.6298 1
Pm5 0.5915 0.5915 0.3702 1
Pm6 0.6341 0.6341 0.9126 1
Pm7 0.8043 0.8043 0.3228 1
Al1 0.0000 0.0000 0.5000 1
Al2 0.1942 0.1942 0.1980 1
Al3 0.8058 0.8058 0.8020 1
```

(2)
The following is a GGA-PBE calculation of an optimized crystal structure of Nd12Ho7Th, from Alexandria.

Properties
For the electronic total energy, the calculation gives -4.611 eV per atom. The calculation puts the energy above the most stable polymorph in this dataset at 0 meV per atom. The symmetry is No. 148. The value obtained for the formation energy is 0.223 eV/atom. The size of the total moment comes out at 0.00 μB per formula unit. The volume comes out at 681.9 Å³ per cell.

```
data_Nd12Ho7Th
_chemical_formula_sum 'Nd12 Ho7 Th1'
_symmetry_space_group_name_H-M 'P 1'
_symmetry_Int_Tables_number 1
_symmetry_space_group_name_Hall 'P 1'
_cell_length_a 8.8017
_cell_length_b 8.8017
_cell_length_c 8.8017
_cell_angle_alpha 89.95
_cell_angle_beta 89.95
_cell_angle_gamma 89.95
loop_
_atom_site_label
_atom_site_fract_x
_atom_site_fract_y
_atom_site_fract_z
_atom_site_occupancy
Nd1 0.0011 0.1216 0.6464 1
Nd2 0.1216 0.6464 0.0011 1
Nd3 0.2241 0.7652 0.6270 1
Nd4 0.2348 0.3730 0.7759 1
Nd5 0.3536 0.9989 0.8784 1
Nd6 0.3730 0.7759 0.2348 1
Nd7 0.6270 0.2241 0.7652 1
Nd8 0.6464 0.0011 0.1216 1
Nd9 0.7652 0.6270 0.2241 1
Nd10 0.7759 0.2348 0.3730 1
Nd11 0.8784 0.3536 0.9989 1
Nd12 0.9989 0.8784 0.3536 1
Ho1 0.0000 0.0000 0.0000 1
Ho2 0.1216 0.4420 0.3500 1
Ho3 0.3500 0.1216 0.4420 1
Ho4 0.4420 0.3500 0.1216 1
Ho5 0.5580 0.6500 0.8784 1
Ho6 0.6500 0.8784 0.5580 1
Ho7 0.8784 0.5580 0.6500 1
Th1 0.5000 0.5000 0.5000 1
```

(3)
The following is a GGA-PBE calculation of an optimized crystal structure of K4ThO4, from Alexandria.

Properties
For the electronic total energy, the calculation gives -5.575 eV per atom. The symmetry is No. 12. For the uncorrected formation energy, the calculation gives -198.67 kJ/mol of atoms. The size of the total moment comes out at 0.00 μB per formula unit. The volume comes out at 195.0 Å³ per cell.

```
data_K4ThO4
_chemical_formula_sum 'K4 Th1 O4'
_symmetry_space_group_name_H-M 'P 1'
_symmetry_Int_Tables_number 1
_symmetry_space_group_name_Hall 'P 1'
_cell_length_a 6.7530
_cell_length_b 6.7530
_cell_length_c 9.3006
_cell_angle_alpha 119.92
_cell_angle_beta 119.92
_cell_angle_gamma 32.55
loop_
_atom_site_label
_atom_site_fract_x
_atom_site_fract_y
_atom_site_fract_z
_atom_site_occupancy
K1 0.1260 0.1260 0.3974 1
K2 0.2923 0.2923 0.1788 1
K3 0.7077 0.7077 0.8212 1
K4 0.8740 0.8740 0.6026 1
Th1 0.5000 0.5000 0.0000 1
O1 0.0681 0.0681 0.9082 1
O2 0.3206 0.3206 0.7450 1
O3 0.6794 0.6794 0.2550 1
O4 0.9319 0.9319 0.0918 1
```

(4)
The following is a GGA-PBE calculation of an optimized crystal structure of Cs2CdFeCl6, from Alexandria.

Properties
For the electronic total energy, the calculation gives -3.545 eV per atom. The symmetry is No. 139. For the uncorrected formation energy, the calculation gives -128.21 kJ/mol of atoms. The size of the total moment comes out at 4.00 μB per formula unit. The volume comes out at 280.3 Å³ per cell.

```
data_Cs2CdFeCl6
_chemical_formula_sum 'Cs2 Cd1 Fe1 Cl6'
_symmetry_space_group_name_H-M 'P 1'
_symmetry_Int_Tables_number 1
_symmetry_space_group_name_Hall 'P 1'
_cell_length_a 7.3511
_cell_length_b 7.3511
_cell_length_c 7.3511
_cell_angle_alpha 120.13
_cell_angle_beta 120.13
_cell_angle_gamma 89.78
loop_
_atom_site_label
_atom_site_fract_x
_atom_site_fract_y
_atom_site_fract_z
_atom_site_occupancy
Cs1 0.2500 0.7500 0.5000 1
Cs2 0.7500 0.2500 0.5000 1
Cd1 0.0000 0.0000 0.0000 1
Fe1 0.5000 0.5000 0.0000 1
Cl1 0.2522 0.2522 0.0000 1
Cl2 0.2615 0.2615 0.5231 1
Cl3 0.2615 0.7385 0.0000 1
Cl4 0.7385 0.2615 0.0000 1
Cl5 0.7385 0.7385 0.4769 1
Cl6 0.7478 0.7478 0.0000 1
```

(5)
The following is a GGA-PBE calculation of an optimized crystal structure of CsNa2CaGe, from Alexandria.

Properties
For the electronic total energy, the calculation gives -2.065 eV per atom. The symmetry is No. 123. The value obtained for the formation energy is -0.042 eV/atom. The size of the total moment comes out at 0.00 μB per formula unit. The volume comes out at 215.1 Å³ per cell.

```
data_CsNa2CaGe
_chemical_formula_sum 'Cs1 Na2 Ca1 Ge1'
_symmetry_space_group_name_H-M 'P 1'
_symmetry_Int_Tables_number 1
_symmetry_space_group_name_Hall 'P 1'
_cell_length_a 6.0608
_cell_length_b 6.0608
_cell_length_c 5.8565
_cell_angle_alpha 90.00
_cell_angle_beta 90.00
_cell_angle_gamma 90.00
loop_
_atom_site_label
_atom_site_fract_x
_atom_site_fract_y
_atom_site_fract_z
_atom_site_occupancy
Cs1 0.0000 0.0000 0.0000 1
Na1 0.0000 0.5000 0.5000 1
Na2 0.5000 0.0000 0.5000 1
Ca1 0.5000 0.5000 0.0000 1
Ge1 0.5000 0.5000 0.5000 1
```

(6)
The following is a GGA-PBE calculation of an optimized crystal structure of KPmHgPb, from Alexandria.

Properties
For the electronic total energy, the calculation gives -2.727 eV per atom. The symmetry is No. 216. The value obtained for the formation energy is -0.263 eV/atom. The size of the total moment comes out at 0.00 μB per formula unit. The volume comes out at 125.1 Å³ per cell.

```
data_KPmHgPb
_chemical_formula_sum 'K1 Pm1 Hg1 Pb1'
_symmetry_space_group_name_H-M 'P 1'
_symmetry_Int_Tables_number 1
_symmetry_space_group_name_Hall 'P 1'
_cell_length_a 5.6135
_cell_length_b 5.6135
_cell_length_c 5.6135
_cell_angle_alpha 60.00
_cell_angle_beta 60.00
_cell_angle_gamma 60.00
loop_
_atom_site_label
_atom_site_fract_x
_atom_site_fract_y
_atom_site_fract_z
_atom_site_occupancy
K1 0.0000 0.0000 0.0000 1
Pm1 0.5000 0.5000 0.5000 1
Hg1 0.7500 0.7500 0.7500 1
Pb1 0.2500 0.2500 0.2500 1
```